(1)
Sr3SmU2As6, optimized geometry, DFT PBE; total magnetic moment = 0.25 μB per atom
1.0
-6.0728 1.0587 -4.0964
-0.6251 -1.5864 7.2023
2.4026 7.1305 0.5109
As U Sr Sm
6 2 3 1
direct
0.2725 0.2725 0.7825 As
0.7275 0.7275 0.2175 As
0.9272 0.5822 0.7823 As
0.5822 0.9272 0.7823 As
0.4178 0.0728 0.2177 As
0.0728 0.4178 0.2177 As
0.6671 0.3329 0.0000 U
0.3329 0.6671 0.0000 U
0.8360 0.1640 0.5000 Sr
0.1640 0.8360 0.5000 Sr
0.5000 0.5000 0.5000 Sr
0.0000 0.0000 0.0000 Sm


(2)
Sr3Sm2UAs6, optimized geometry, DFT PBE; total magnetic moment = 0.00 μB per atom
1.0
-4.4346 1.3490 5.7827
5.7259 -4.6487 0.7269
3.7582 6.5676 -0.2385
Sm As Sr U
2 6 3 1
direct
0.3339 0.6661 0.0000 Sm
0.6661 0.3339 0.0000 Sm
0.9271 0.6124 0.7802 As
0.2396 0.2396 0.7807 As
0.0729 0.3876 0.2198 As
0.7604 0.7604 0.2193 As
0.3876 0.0729 0.2198 As
0.6124 0.9271 0.7802 As
0.8291 0.1709 0.5000 Sr
0.1709 0.8291 0.5000 Sr
0.5000 0.5000 0.5000 Sr
0.0000 0.0000 0.0000 U


Listing energy relative to the elements for the structures above in their given order: -1.09; -1.21 eV/atom.